Compound: Ac2La5TbY
Source: the Alexandria database
Functional: PBE
Structure: relaxed

## Properties
Its formation energy is 0.100 eV/atom.

Geometry as POSCAR:
```
Ac2La5TbY
1.0
-4.093 1.631 -3.589
-4.416 -9.530 5.203
-4.226 6.103 7.593
Ac La Tb Y
4 10 2 2
direct
0.884 0.769 0.772
0.116 0.231 0.745
0.116 0.231 0.272
0.884 0.769 0.245
0.377 0.754 0.008
0.723 0.446 0.819
0.500 0.000 0.758
0.277 0.554 0.698
0.996 0.992 0.508
0.623 0.246 0.508
0.277 0.554 0.319
0.500 0.000 0.258
0.723 0.446 0.198
0.004 0.008 0.008
0.786 0.571 0.508
0.214 0.429 0.008
0.603 0.207 0.008
0.397 0.793 0.508
```

---

Compound: LiBe2S
Source: the Alexandria database
Functional: PBE
Structure: relaxed

## Properties
The formation energy from raw total energies comes out at 1 kJ per mole of atoms.

Geometry as POSCAR:
```
LiBe2S
1.0
6.826 0.000 0.000
0.000 6.826 0.000
3.413 3.413 2.283
Be S Li
4 2 2
direct
0.702 0.125 0.250
0.048 0.625 0.250
0.375 0.298 0.750
0.875 0.952 0.750
0.000 0.000 0.000
0.750 0.250 0.500
0.500 0.500 0.000
0.250 0.750 0.500
```

---

Compound: Ba3SnGe4
Source: the Alexandria database
Functional: PBE
Structure: relaxed

## Properties
Its formation energy is -0.417 eV/atom.

Geometry as POSCAR:
```
Ba3SnGe4
1.0
-2.473 4.423 0.645
-4.788 -2.203 -3.255
0.070 -4.167 8.612
Ba Sn Ge
3 1 4
direct
0.187 0.187 0.375
0.813 0.813 0.625
0.000 0.500 0.000
0.500 0.000 0.000
0.377 0.571 0.754
0.623 0.429 0.246
0.623 0.817 0.246
0.377 0.183 0.754
```

---

Compound: LaGe2Mo2
Source: the Alexandria database
Functional: PBE
Structure: relaxed

## Properties
Its formation energy is -0.360 eV/atom.

Geometry as POSCAR:
```
LaGe2Mo2
1.0
-1.369 2.994 2.415
-3.673 -0.257 -1.764
-4.185 -2.662 4.378
Mo Ge La
2 2 1
direct
0.750 0.250 0.500
0.250 0.750 0.500
0.387 0.387 0.227
0.613 0.613 0.773
0.000 0.000 0.000
```

---

Compound: NaCaHg4
Source: the Alexandria database
Functional: PBE
Structure: relaxed

## Properties
Its formation energy is -0.219 eV/atom.

Geometry as POSCAR:
```
NaCaHg4
1.0
6.054 0.000 0.000
3.027 5.243 0.000
3.027 1.748 4.943
Na Ca Hg
1 1 4
direct
0.250 0.250 0.250
0.000 0.000 0.000
0.625 0.625 0.125
0.625 0.125 0.625
0.625 0.625 0.625
0.125 0.625 0.625
```

---

Compound: AsPSe2N
Source: the Alexandria database
Functional: PBE
Structure: relaxed

## Properties
The formation energy from raw total energies comes out at 105 kJ per mole of atoms.

Geometry as POSCAR:
```
AsPSe2N
1.0
4.354 0.000 0.000
0.000 4.354 0.000
0.000 0.000 4.438
P As Se N
1 1 2 1
direct
0.500 0.500 0.500
0.000 0.000 0.500
0.000 0.500 0.000
0.500 0.000 0.000
0.000 0.000 0.000
```

---

Compound: ScC3
Source: the Alexandria database
Functional: PBE
Structure: relaxed

## Properties
Its formation energy is 1.567 eV/atom.

Geometry as POSCAR:
```
ScC3
1.0
2.667 -0.743 7.006
-1.472 1.119 7.302
-1.520 -2.262 -7.023
Sc C
2 6
direct
0.633 0.633 0.000
0.367 0.367 0.000
0.500 0.000 0.500
0.000 0.500 0.500
0.250 0.750 0.500
0.750 0.250 0.500
0.055 0.055 0.000
0.945 0.945 0.000
```

---

Compound: Ba3Pr2YTe6
Source: the Alexandria database
Functional: PBE
Structure: relaxed

## Properties
The formation energy from raw total energies comes out at -152 kJ per mole of atoms.

Geometry as POSCAR:
```
Ba3Pr2YTe6
1.0
8.064 0.005 0.001
-4.025 6.987 0.001
-1.347 -2.331 7.879
Ba Pr Y Te
3 2 1 6
direct
0.170 0.830 0.500
0.830 0.170 0.500
0.500 0.500 0.500
0.335 0.665 0.000
0.665 0.335 0.000
0.000 0.000 0.000
0.927 0.601 0.778
0.751 0.751 0.225
0.073 0.399 0.222
0.601 0.927 0.778
0.249 0.249 0.775
0.399 0.073 0.222
```

---

One value per record, in order, for N(E_F): 13.5; 2.1; 4.9; 4.7; 3.3; 3.6; 1.0; 5.6 states/eV/f.u..
One value per record, in order, for raw total energy: -86.09; -26.90; -31.58; -37.62; -5.84; -19.90; -55.47; -59.48 eV for the cell shown.